[1]
The following is a PBE calculation of Sr2ZnO4 after structural relaxation, from the Alexandria database.

abc: 3.934 3.934 12.819
angles: 90.00 90.00 90.00
Space group I4/mmm (No. 139)
Inequivalent atoms, fractional coordinates:
Sr: 0.000 0.000 0.140
Zn: 0.000 0.000 0.500
O: 0.000 0.000 0.334
O: 0.000 0.500 0.000

Properties
E_form (uncorrected) = -1852 meV per atom

[2]
The following is a PBE calculation of SrZnO2 after structural relaxation, from the Alexandria database.

abc: 6.349 7.319 5.628
angles: 90.00 90.00 90.00
Space group Pna2_1 (No. 33)
Inequivalent atoms, fractional coordinates:
Sr: 0.123 0.116 0.000
Zn: 0.073 0.630 0.012
O: 0.024 0.601 0.362
O: 0.111 0.149 0.440

Properties
E_form (uncorrected) = -2038 meV per atom

[3]
The following is a PBE calculation of Sr2ZnO3 after structural relaxation, from the Alexandria database.

abc: 3.301 17.878 6.073
angles: 90.00 90.00 90.00
Space group Cmcm (No. 63)
Inequivalent atoms, fractional coordinates:
Sr: 0.000 0.019 0.250
Sr: 0.000 0.167 0.750
Zn: 0.000 0.337 0.750
O: 0.000 0.225 0.250
O: 0.000 0.414 0.003

Properties
ΔE to the lowest computed polymorph = 116 meV/atom
E_form (uncorrected) = -2176 meV per atom

[4]
The following is a PBE calculation of SrZn2O3 after structural relaxation, from the Alexandria database.

abc: 18.390 3.515 6.149
angles: 90.00 104.55 90.00
Space group C2/m (No. 12)
Inequivalent atoms, fractional coordinates:
Sr: 0.125 0.000 0.270
Zn: 0.053 0.500 0.703
Zn: 0.203 0.000 0.852
O: 0.059 0.500 0.379
O: 0.095 0.000 0.852
O: 0.244 0.500 0.788

Properties
E_form (uncorrected) = -1756 meV per atom

[5]
The following is a PBE calculation of Sr2ZnO after structural relaxation, from the Alexandria database.

abc: 3.7465 3.7465 28.2500
angles: 90.00 90.00 120.00
Space group R-3m (No. 166, hexagonal axes)
Inequivalent atoms, fractional coordinates:
Sr: 0.0000 0.0000 0.1146
Zn: 0.0000 0.0000 0.0000
O: 0.0000 0.0000 0.5000

Properties
ΔE to the lowest computed polymorph = 289 meV/atom
E_form (uncorrected) = -988 meV per atom

[6]
The following is a PBE calculation of SrZn3O3 after structural relaxation, from the Alexandria database.

abc: 5.999 5.999 5.999
angles: 90.00 90.00 90.00
Space group Pm-3n (No. 223)
Inequivalent atoms, fractional coordinates:
Sr: 0.000 0.000 0.000
Zn: 0.000 0.250 0.500
O: 0.000 0.500 0.250

Properties
E_form (uncorrected) = -1048 meV per atom

[7]
The following is a PBE calculation of SrZnO2 after structural relaxation, from the Alexandria database.

abc: 5.746 5.746 7.263
angles: 90.00 90.00 90.00
Space group I-42d (No. 122)
Inequivalent atoms, fractional coordinates:
Sr: 0.000 0.000 0.000
Zn: 0.000 0.000 0.500
O: 0.189 0.750 0.625

Properties
E_form (uncorrected) = -2006 meV per atom

[8]
The following is a PBE calculation of Sr12Zn3O5 after structural relaxation, from the Alexandria database.

abc: 16.871 16.871 16.871
angles: 90.00 90.00 90.00
Space group Ia-3d (No. 230)
Inequivalent atoms, fractional coordinates:
Sr: 0.035 0.048 0.650
Zn: 0.000 0.250 0.125
O: 0.000 0.000 0.000
O: 0.000 0.250 0.375

Properties
E_form (uncorrected) = -1295 meV per atom

[9]
The following is a PBE calculation of Sr2ZnO after structural relaxation, from the Alexandria database.

abc: 7.182 7.182 9.115
angles: 90.00 90.00 90.00
Space group I-42d (No. 122)
Inequivalent atoms, fractional coordinates:
Sr: 0.152 0.250 0.125
Zn: 0.000 0.000 0.500
O: 0.000 0.000 0.000

Properties
ΔE to the lowest computed polymorph = 0 meV/atom
E_form (uncorrected) = -1276 meV per atom

[10]
The following is a PBE calculation of Sr2ZnO3 after structural relaxation, from the Alexandria database.

abc: 5.736 10.983 11.994
angles: 90.00 93.77 90.00
Space group C2/c (No. 15)
Inequivalent atoms, fractional coordinates:
Sr: 0.226 0.105 0.426
Sr: 0.234 0.209 0.849
Zn: 0.221 0.495 0.338
O: 0.000 0.016 0.750
O: 0.000 0.393 0.750
O: 0.168 0.321 0.371
O: 0.214 0.101 0.028

Properties
ΔE to the lowest computed polymorph = 0 meV/atom
E_form (uncorrected) = -2292 meV per atom

[11]
The following is a PBE calculation of SrZn6O6 after structural relaxation, from the Alexandria database.

abc: 5.831 5.831 5.831
angles: 90.00 90.00 90.00
Space group Pm-3 (No. 200)
Inequivalent atoms, fractional coordinates:
Sr: 0.000 0.000 0.000
Zn: 0.000 0.266 0.500
O: 0.000 0.500 0.236

Properties
E_form (uncorrected) = -1213 meV per atom

[12]
The following is a PBE calculation of Sr2ZnO after structural relaxation, from the Alexandria database.

abc: 7.324 7.324 7.324
angles: 90.00 90.00 90.00
Space group Fm-3m (No. 225)
Inequivalent atoms, fractional coordinates:
Sr: 0.250 0.250 0.250
Zn: 0.000 0.000 0.000
O: 0.000 0.000 0.500

Properties
ΔE to the lowest computed polymorph = 739 meV/atom
E_form (uncorrected) = -537 meV per atom